First-principles (SCAN) data for a crystal of RbCO2 relaxed with PBEsol, as listed in Alexandria via LeMat-Bulk.

The energy relative to the elements, uncorrected is 4.626 eV/f.u. The value obtained for the magnetization is 0.00 μB/f.u. Its crystal system is trigonal. The calculation puts the total DFT energy (no corrections) at -9.67 eV per atom.

It has space group R-3m (No. 166, hexagonal axes), with a = 2.8340 Å, b = 2.8340 Å, c = 20.5922 Å, α = 90.00°, β = 90.00° and γ = 120.00°. Symmetry generates all atoms from Rb at (0.0000, 0.0000, 0.0000), C at (0.0000, 0.0000, 0.5000) and O at (0.0000, 0.0000, 0.1226).

***

First-principles (SCAN) data for a crystal of NdMg2Cu9 relaxed with PBEsol, as listed in Alexandria via LeMat-Bulk.

The value obtained for the calculated formation energy is -0.191 eV per atom. The value obtained for the magnetization is 0.00 μB/f.u. Its crystal system is hexagonal. The calculation puts the total DFT energy (no corrections) at -16.05 eV per atom.

It has space group P6_3/mmc (No. 194), with a = 4.9651 Å, b = 4.9651 Å, c = 15.8962 Å, α = 90.00°, β = 90.00° and γ = 120.00°. Symmetry generates all atoms from Nd at (0.3333, 0.6667, 0.2500), Mg at (0.3333, 0.6667, 0.0319), Cu at (0.0000, 0.0000, 0.0000), Cu at (0.0000, 0.0000, 0.2500), Cu at (0.1680, 0.3360, 0.6227) and Cu at (0.3333, 0.6667, 0.7500).

***

First-principles (SCAN) data for a crystal of TcAs2CBr relaxed with PBEsol, as listed in Alexandria via LeMat-Bulk.

The energy relative to the elements, uncorrected is 8.295 eV/f.u. The value obtained for the magnetization is 1.70 μB/f.u. Its crystal system is tetragonal. The calculation puts the total DFT energy (no corrections) at -19.34 eV per atom.

It has space group P4/mmm (No. 123), with a = 4.6426 Å, b = 4.6426 Å, c = 5.2532 Å, α = 90.00°, β = 90.00° and γ = 90.00°. Symmetry generates all atoms from Tc at (0.0000, 0.0000, 0.0000), As at (0.0000, 0.5000, 0.0000), C at (0.5000, 0.5000, 0.5000) and Br at (0.0000, 0.0000, 0.5000).